Material: Ba3Zn
Method: DFT, GGA-PBEsol
State: optimized geometry Values from VASP.

Cell and atoms, written as Quantum ESPRESSO input:
```
&SYSTEM
  ibrav = 0, nat = 4, ntyp = 2
/
ATOMIC_SPECIES
Ba 137.33 Ba.upf
Zn 65.41 Zn.upf
CELL_PARAMETERS angstrom
4.110 0.000 0.000
0.000 4.110 0.000
0.000 0.000 10.597
ATOMIC_POSITIONS crystal
Ba 0.000 0.000 0.000
Ba 0.500 0.500 0.324
Ba 0.500 0.500 0.676
Zn 0.000 0.000 0.500
```

Properties
The value obtained for the theoretical density is 4.43 g cm⁻³. As for the density of states at the Fermi level: 5.06 states/eV/f.u. The value obtained for the total DFT energy (no corrections) is -2.07 eV per atom. The value obtained for the total magnetization is 0.00 μB/f.u. The calculation puts the energy of formation at -0.0647 eV/atom. As for the space-group type: P4/mmm (123).

Material: Ba3Zn
Method: DFT, GGA-PBEsol
State: optimized geometry Values from VASP.

Cell and atoms, written as Quantum ESPRESSO input:
```
&SYSTEM
  ibrav = 0, nat = 8, ntyp = 2
/
ATOMIC_SPECIES
Ba 137.33 Ba.upf
Zn 65.41 Zn.upf
CELL_PARAMETERS angstrom
4.161 0.000 0.000
0.000 6.215 0.000
0.000 0.000 13.534
ATOMIC_POSITIONS crystal
Ba 0.000 0.000 0.000
Ba 0.000 0.500 0.193
Ba 0.000 0.500 0.807
Ba 0.500 0.000 0.307
Ba 0.500 0.000 0.693
Ba 0.500 0.500 0.500
Zn 0.000 0.000 0.500
Zn 0.500 0.500 0.000
```

Properties
The value obtained for the theoretical density is 4.53 g cm⁻³. As for the density of states at the Fermi level: 5.66 states/eV/f.u. The value obtained for the total DFT energy (no corrections) is -2.02 eV per atom. The value obtained for the total magnetization is 0.00 μB/f.u. The calculation puts the energy of formation at -0.0106 eV/atom. As for the space-group type: Immm (71).

Repeat the first record exactly.
Material: Ba3Zn
Method: DFT, GGA-PBEsol
State: optimized geometry Values from VASP.

Cell and atoms, written as Quantum ESPRESSO input:
```
&SYSTEM
  ibrav = 0, nat = 4, ntyp = 2
/
ATOMIC_SPECIES
Ba 137.33 Ba.upf
Zn 65.41 Zn.upf
CELL_PARAMETERS angstrom
4.110 0.000 0.000
0.000 4.110 0.000
0.000 0.000 10.597
ATOMIC_POSITIONS crystal
Ba 0.000 0.000 0.000
Ba 0.500 0.500 0.324
Ba 0.500 0.500 0.676
Zn 0.000 0.000 0.500
```

Properties
The value obtained for the theoretical density is 4.43 g cm⁻³. As for the density of states at the Fermi level: 5.06 states/eV/f.u. The value obtained for the total DFT energy (no corrections) is -2.07 eV per atom. The value obtained for the total magnetization is 0.00 μB/f.u. The calculation puts the energy of formation at -0.0647 eV/atom. As for the space-group type: P4/mmm (123).

Look up the total DFT energy (no corrections) of the first one. -2.07 eV per atom

What is the formula in the first record? Ba3Zn

What is the formula in the second record? Ba3Zn